Density functional theory data (PBE-GGA) for a relaxed Ac2PmSi4 crystal.

energy	-38.627	eV for the cell shown

Unit cell a=4.107 b=4.496 c=9.882 alpha=103.15 beta=102.00 gamma=90.00
Element x y z (fractional)
Si1 0.938 0.438 0.875
Si2 0.062 0.562 0.125
Si3 0.631 0.631 0.263
Si4 0.369 0.369 0.737
Ac1 0.817 0.817 0.634
Ac2 0.183 0.183 0.366
Pm1 0.500 0.000 0.000